The following is a DFT calculation (PBE) of MgSi2Ge after structural relaxation.

```
MgSi2Ge
1.0
0.000 3.292 3.292
3.292 0.000 3.292
3.292 3.292 0.000
Mg Si Ge
1 2 1
Cartesian
0.000 0.000 0.000
1.646 1.646 1.646
4.938 4.938 4.938
3.292 3.292 3.292
```

Summary:
Its electronic total energy is -3.89 eV/atom. Its space group is Fm-3m (225). The value obtained for the formation energy from raw total energies is 0.38 eV/atom. The density of states at the Fermi level is 0.595 states/eV/atom.

The following is a DFT calculation (PBE) of Sr2Pm2Mg15 after structural relaxation.

```
Sr2Pm2Mg15
1.0
5.368 3.099 5.247
-5.368 3.099 5.247
0.000 -6.199 5.247
Sr Pm Mg
2 2 15
Cartesian
0.000 0.000 2.507
0.000 0.000 13.235
0.000 0.000 6.403
0.000 0.000 9.339
-2.684 -1.550 5.247
0.000 -3.121 4.994
-2.703 1.561 4.994
-1.595 -2.762 7.871
-3.190 0.000 7.871
-2.703 -1.561 10.748
-2.684 1.550 10.495
1.595 -2.762 7.871
0.000 3.099 5.247
-1.595 2.762 7.871
2.703 1.561 4.994
3.190 0.000 7.871
1.595 2.762 7.871
2.703 -1.561 10.748
0.000 3.121 10.748
```

Summary:
Its electronic total energy is -1.96 eV/atom. The calculation puts the energy of formation at -0.49 eV per formula unit. Its space group is R-3m (166). The density of states at the Fermi level is 0.811 states/eV/atom.

The following is a DFT calculation (PBE) of SrTi3Ag after structural relaxation.

```
SrTi3Ag
1.0
5.070 0.000 0.000
0.000 5.070 0.000
0.000 0.000 5.070
Sr Ti Ag
1 3 1
Cartesian
0.000 0.000 0.000
0.000 2.535 2.535
2.535 0.000 2.535
2.535 2.535 0.000
2.535 2.535 2.535
```

Summary:
Its electronic total energy is -4.72 eV/atom. The calculation puts the energy of formation at 4.62 eV per formula unit. Its space group is Pm-3m (221). The density of states at the Fermi level is 1.534 states/eV/atom.

The following is a DFT calculation (PBE) of SiHg2Rh after structural relaxation.

```
SiHg2Rh
1.0
2.990 0.000 0.000
0.000 2.990 0.000
0.000 0.000 8.630
Si Hg Rh
1 2 1
Cartesian
0.000 0.000 0.000
0.000 0.000 5.205
1.495 1.495 2.430
1.495 1.495 7.370
```

Summary:
Its electronic total energy is -3.38 eV/atom. Its space group is P4mm (99). The value obtained for the formation energy from raw total energies is -0.04 eV/atom. The density of states at the Fermi level is 0.369 states/eV/atom.

The following is a DFT calculation (PBE) of BiSeClO3 after structural relaxation.

```
BiSeClO3
1.0
6.712 0.000 0.000
0.000 8.026 0.000
0.000 0.000 8.896
Bi Se Cl O
4 4 4 12
Cartesian
0.254 1.632 2.857
3.103 6.394 7.305
3.610 2.381 6.039
6.459 5.645 1.591
1.095 0.681 8.494
2.261 7.346 4.045
4.452 3.333 0.403
5.617 4.694 4.851
1.635 3.985 3.070
1.721 4.041 7.519
4.991 0.028 5.826
5.077 7.998 1.378
0.753 7.226 3.175
1.200 6.964 8.675
1.630 1.255 1.143
1.726 6.771 5.591
2.157 1.062 4.227
2.603 0.800 7.623
4.109 4.813 5.722
4.556 5.075 0.221
4.986 2.758 7.753
5.082 5.269 3.305
5.513 2.951 4.669
5.959 3.213 1.273
```

Summary:
Its electronic total energy is -5.03 eV/atom. Its space group is P2_12_12_1 (19). The value obtained for the formation energy from raw total energies is -1.02 eV/atom. The density of states at the Fermi level is 0.000 states/eV/atom.

The following is a DFT calculation (PBE) of SbAu after structural relaxation.

```
SbAu
1.0
-1.780 2.051 6.631
1.780 -2.051 6.631
1.780 2.051 -6.631
Sb Au
2 2
Cartesian
0.000 1.025 1.980
1.780 1.025 4.651
1.780 1.025 -1.033
0.000 1.025 7.664
```

Summary:
Its electronic total energy is -3.64 eV/atom. Its space group is Imma (74). The value obtained for the formation energy from raw total energies is 0.06 eV/atom. The density of states at the Fermi level is 0.437 states/eV/atom.

The following is a DFT calculation (PBE) of Na2CuGe4Pt3 after structural relaxation.

```
Na2CuGe4Pt3
1.0
4.308 0.000 0.000
0.000 4.308 0.000
0.000 0.000 10.244
Na Cu Ge Pt
2 1 4 3
Cartesian
0.000 2.154 2.497
2.154 0.000 7.747
2.154 2.154 0.000
0.000 0.000 5.122
0.000 2.154 8.957
2.154 0.000 1.287
2.154 2.154 5.122
0.000 0.000 0.000
0.000 2.154 6.471
2.154 0.000 3.773
```

Summary:
Its electronic total energy is -4.71 eV/atom. The calculation puts the energy of formation at -3.73 eV per formula unit. Its space group is P-4m2 (115). The density of states at the Fermi level is 0.514 states/eV/atom.

The following is a DFT calculation (PBE) of SmY2Tm2Mg5 after structural relaxation.

```
SmY2Tm2Mg5
1.0
10.604 0.000 0.000
0.000 10.604 0.000
0.000 0.000 5.071
Sm Y Tm Mg
2 4 4 10
Cartesian
0.000 0.000 0.000
5.302 5.302 0.000
1.892 3.410 0.000
3.410 8.712 0.000
7.194 1.892 0.000
8.712 7.194 0.000
1.246 6.548 0.000
4.057 1.246 0.000
6.548 9.359 0.000
9.359 4.057 0.000
0.000 5.302 2.536
0.788 8.501 2.536
2.103 0.788 2.536
3.199 6.090 2.536
4.514 3.199 2.536
5.302 0.000 2.536
6.090 7.405 2.536
7.405 4.514 2.536
8.501 9.816 2.536
9.816 2.103 2.536
```

Summary:
Its electronic total energy is -3.38 eV/atom. The calculation puts the energy of formation at 0.74 eV per formula unit. Its space group is P4/mbm (127). The density of states at the Fermi level is 0.918 states/eV/atom.

The following is a DFT calculation (PBE) of Ba3Cd2Bi3 after structural relaxation.

```
Ba3Cd2Bi3
1.0
2.560 -6.708 0.000
2.560 6.708 0.000
0.000 0.000 17.356
Ba Cd Bi
6 4 6
Cartesian
2.560 5.729 10.582
2.560 5.729 15.453
2.560 2.033 13.017
2.560 -2.033 4.339
2.560 -5.729 1.903
2.560 -5.729 6.775
2.560 3.619 1.674
2.560 3.619 7.004
2.560 -3.619 10.352
2.560 -3.619 15.683
2.560 1.888 4.339
2.560 1.670 9.498
2.560 1.670 16.536
2.560 -1.670 0.820
2.560 -1.670 7.858
2.560 -1.888 13.017
```

Summary:
Its electronic total energy is -3.06 eV/atom. The calculation puts the energy of formation at -5.22 eV per formula unit. Its space group is Cmcm (63). The density of states at the Fermi level is 0.496 states/eV/atom.

The following is a DFT calculation (PBE) of Cs3Au2Br7 after structural relaxation.

```
Cs3Au2Br7
1.0
2.818 -13.908 0.000
2.818 13.908 0.000
0.000 0.000 5.439
Cs Au Br
3 2 7
Cartesian
0.000 0.000 0.000
2.818 8.848 0.000
2.818 -8.848 0.000
2.818 2.699 2.720
2.818 -2.699 2.720
2.818 11.300 2.720
2.818 5.391 2.720
2.818 2.619 0.000
2.818 0.000 2.720
2.818 -2.619 0.000
2.818 -5.391 2.720
2.818 -11.300 2.720
```

Summary:
Its electronic total energy is -2.71 eV/atom. Its space group is Cmmm (65). The value obtained for the formation energy from raw total energies is -0.98 eV/atom. The density of states at the Fermi level is 0.231 states/eV/atom.

The following is a DFT calculation (PBE) of Th2InAu after structural relaxation.

```
Th2InAu
1.0
0.000 3.807 3.807
3.807 0.000 3.807
3.807 3.807 0.000
Th In Au
2 1 1
Cartesian
1.903 1.903 1.903
5.710 5.710 5.710
0.000 0.000 0.000
3.807 3.807 3.807
```

Summary:
Its electronic total energy is -5.54 eV/atom. The calculation puts the energy of formation at -1.31 eV per formula unit. Its space group is Fm-3m (225). The density of states at the Fermi level is 0.965 states/eV/atom.

The following is a DFT calculation (PBE) of Ac9Nd2Y after structural relaxation.

```
Ac9Nd2Y
1.0
5.521 0.000 0.000
0.000 5.521 0.000
0.000 0.000 16.577
Ac Nd Y
9 2 1
Cartesian
0.000 0.000 0.000
0.000 0.000 5.517
0.000 0.000 11.061
0.000 2.761 2.744
0.000 2.761 8.289
0.000 2.761 13.834
2.761 0.000 2.744
2.761 0.000 8.289
2.761 0.000 13.834
2.761 2.761 5.509
2.761 2.761 11.069
2.761 2.761 0.000
```

Summary:
Its electronic total energy is -4.39 eV/atom. The calculation puts the energy of formation at 0.28 eV per formula unit. Its space group is P4/mmm (123). The density of states at the Fermi level is 1.633 states/eV/atom.

Copy entry 3 word for word.
The following is a DFT calculation (PBE) of SrTi3Ag after structural relaxation.

```
SrTi3Ag
1.0
5.070 0.000 0.000
0.000 5.070 0.000
0.000 0.000 5.070
Sr Ti Ag
1 3 1
Cartesian
0.000 0.000 0.000
0.000 2.535 2.535
2.535 0.000 2.535
2.535 2.535 0.000
2.535 2.535 2.535
```

Summary:
Its electronic total energy is -4.72 eV/atom. The calculation puts the energy of formation at 4.62 eV per formula unit. Its space group is Pm-3m (221). The density of states at the Fermi level is 1.534 states/eV/atom.

- What is the density of states at the Fermi level in the eleventh record?
  0.965 states/eV/atom

- What is the density of states at the Fermi level in the eleventh record?
  0.965 states/eV/atom

Repeat the fourth record exactly.
The following is a DFT calculation (PBE) of SiHg2Rh after structural relaxation.

```
SiHg2Rh
1.0
2.990 0.000 0.000
0.000 2.990 0.000
0.000 0.000 8.630
Si Hg Rh
1 2 1
Cartesian
0.000 0.000 0.000
0.000 0.000 5.205
1.495 1.495 2.430
1.495 1.495 7.370
```

Summary:
Its electronic total energy is -3.38 eV/atom. Its space group is P4mm (99). The value obtained for the formation energy from raw total energies is -0.04 eV/atom. The density of states at the Fermi level is 0.369 states/eV/atom.